1.
Entry from Alexandria via LeMat-Bulk: a relaxed structure of Tl2Cu2HgI6 (PBE-GGA).

Cell: 8.1995 8.4869 8.1963 Å, 114.54 90.00 118.89°
Fractional coordinates of all 11 atoms:
1 Tl 0.7379 0.4758 0.2134
2 Tl 0.2621 0.5242 0.7866
3 Cu 0.9558 0.9116 0.7532
4 Cu 0.0442 0.0884 0.2468
5 Hg 0.5000 0.0000 0.5000
6 I 0.7683 0.5366 0.6516
7 I 0.1839 0.8664 0.1980
8 I 0.3175 0.1336 0.8020
9 I 0.8161 0.1336 0.8020
10 I 0.6825 0.8664 0.1980
11 I 0.2317 0.4634 0.3484

Calculated values
* formation energy (no corrections): -0.3000 eV per atom
* space group: C2/m

2.
Entry from Alexandria via LeMat-Bulk: a relaxed structure of Bi2Te2Pd7 (PBE-GGA).

Cell: 5.2181 6.8178 6.8178 Å, 90.93 73.63 73.63°
Fractional coordinates of all 11 atoms:
1 Bi 0.0000 0.2479 0.7521
2 Bi 0.0000 0.7521 0.2479
3 Te 0.5383 0.2666 0.2666
4 Te 0.4617 0.7334 0.7334
5 Pd 0.6779 0.0801 0.5853
6 Pd 0.3221 0.4147 0.9199
7 Pd 0.3221 0.9199 0.4147
8 Pd 0.6779 0.5853 0.0801
9 Pd 0.5000 0.0000 0.0000
10 Pd 0.0022 0.6643 0.6643
11 Pd 0.9978 0.3357 0.3357

Calculated values
* formation energy (no corrections): -0.2671 eV per atom
* space group: C2/m

3.
Entry from Alexandria via LeMat-Bulk: a relaxed structure of V2SnMo (PBE-GGA).

Cell: 7.2038 7.2038 5.7766 Å, 51.43 51.43 90.00°
Fractional coordinates of all 8 atoms:
1 Mo 0.5000 0.5000 0.0000
2 Mo 0.2500 0.7500 0.5000
3 Sn 0.0000 0.0000 0.0000
4 Sn 0.7500 0.2500 0.5000
5 V 0.5814 0.1250 0.2500
6 V 0.1686 0.6250 0.2500
7 V 0.3750 0.4186 0.7500
8 V 0.8750 0.8314 0.7500

Calculated values
* ΔE_f: 0.609 eV/atom
* space group: I-42d

4.
Entry from Alexandria via LeMat-Bulk: a relaxed structure of La4DyEr2 (PBE-GGA).

Cell: 12.7339 12.7339 6.8638 Å, 96.99 96.99 150.31°
Fractional coordinates of all 14 atoms:
1 Er 0.6267 0.3114 0.4562
2 Er 0.9200 0.1051 0.0433
3 Er 0.1051 0.9200 0.5433
4 Er 0.3114 0.6267 0.9562
5 Dy 0.4171 0.6671 0.4998
6 Dy 0.6671 0.4171 0.9998
7 La 0.7091 0.1711 0.8596
8 La 0.1711 0.7091 0.3596
9 La 0.1912 0.7980 0.9060
10 La 0.7980 0.1912 0.4060
11 La 0.0370 0.1433 0.5945
12 La 0.5629 0.6012 0.1421
13 La 0.6012 0.5629 0.6421
14 La 0.1433 0.0370 0.0945

Calculated values
* ΔE_f: 0.072 eV/atom
* energy above the most stable polymorph in this dataset: 0.000 eV/f.u.
* space group: Cc

5.
Entry from Alexandria via LeMat-Bulk: a relaxed structure of Ac3Be2Pd9Pb (PBE-GGA).

Cell: 6.1341 6.1341 9.5484 Å, 90.00 90.00 120.00°
Fractional coordinates of all 15 atoms:
1 Ac 0.3333 0.6667 0.6707
2 Ac 0.0000 0.0000 0.0000
3 Ac 0.6667 0.3333 0.3293
4 Be 0.3333 0.6667 0.1412
5 Be 0.6667 0.3333 0.8588
6 Pd 0.8334 0.1666 0.7239
7 Pd 0.8334 0.6668 0.7239
8 Pd 0.3332 0.1666 0.7239
9 Pd 0.6668 0.8334 0.2761
10 Pd 0.1666 0.3332 0.2761
11 Pd 0.1666 0.8334 0.2761
12 Pd 0.5000 0.0000 0.0000
13 Pd 0.0000 0.5000 0.0000
14 Pd 0.5000 0.5000 0.0000
15 Pb 0.0000 0.0000 0.5000

Calculated values
* ΔE_f: -0.624 eV/atom
* space group: P-3m1

6.
Entry from Alexandria via LeMat-Bulk: a relaxed structure of TlZnCu2 (PBE-GGA).

Cell: 5.3549 5.3549 5.3549 Å, 145.33 130.96 61.45°
Fractional coordinates of all 4 atoms:
1 Cu 0.9902 0.9902 0.0000
2 Cu 0.7727 0.2727 0.5000
3 Tl 0.5080 0.5080 0.0000
4 Zn 0.2291 0.7291 0.5000

Calculated values
* ΔE_f: 0.240 eV/atom
* energy above the most stable polymorph in this dataset: 0.322 eV/f.u.
* space group: Imm2

7.
Entry from Alexandria via LeMat-Bulk: a relaxed structure of CaTcP2 (PBE-GGA).

Cell: 4.5569 4.5435 3.1586 Å, 90.00 90.00 90.00°
Fractional coordinates of all 4 atoms:
1 Ca 0.0000 0.5000 0.5000
2 P 0.0000 0.0000 0.0000
3 P 0.5000 0.5000 0.0000
4 Tc 0.5000 0.0000 0.5000

Calculated values
* ΔE_f: -0.007 eV/atom
* energy above the most stable polymorph in this dataset: 2.323 eV/f.u.
* space group: Pmmm

8.
Entry from Alexandria via LeMat-Bulk: a relaxed structure of Fe2AuCl2 (PBE-GGA).

Cell: 7.6893 7.6893 2.8749 Å, 90.00 90.00 90.00°
Fractional coordinates of all 10 atoms:
1 Au 0.0000 0.0000 0.0000
2 Au 0.5000 0.5000 0.0000
3 Fe 0.1829 0.6829 0.5000
4 Fe 0.6829 0.8171 0.5000
5 Fe 0.8171 0.3171 0.5000
6 Fe 0.3171 0.1829 0.5000
7 Cl 0.3680 0.8680 0.0000
8 Cl 0.8680 0.6320 0.0000
9 Cl 0.6320 0.1320 0.0000
10 Cl 0.1320 0.3680 0.0000

Calculated values
* energy above the most stable polymorph in this dataset: 0.000 eV/f.u.
* formation energy (no corrections): 0.4280 eV per atom
* space group: P4/mbm